4
Lattice="-3.771 2.624 2.498 -4.709 -2.179 0.654 -1.536 -1.527 4.760" Properties=species:S:1:pos:R:3 comment="HoErTlAg | Alexandria | PBE-GGA | relaxed" crystal_system=cubic total_energy_ev_per_atom=-3.93 m_tot_mub_per_fu=0.00 volume_a3_per_cell=101.1 formation_energy_ev_per_atom=-0.336 pbc="T T T"
Tl -7.512 -0.811 5.933
Ho 0.000 0.000 0.000
Ag -2.504 -0.270 1.978
Er -5.008 -0.541 3.956

=====

6
Lattice="6.100 -0.003 0.000 -1.645 4.170 0.000 0.000 0.000 5.197" Properties=species:S:1:pos:R:3 comment="SrReIr | Alexandria | PBE-GGA | relaxed" e_above_lowest_polymorph_mev_per_atom=0 crystal_system=orthorhombic total_energy_ev_per_atom=-7.62 m_tot_mub_per_fu=0.00 volume_a3_per_cell=132.2 formation_energy_ev_per_atom=0.040 pbc="T T T"
Sr 1.369 2.540 0.818
Sr 2.846 0.713 3.416
Ir 4.683 1.438 0.818
Ir -0.468 1.815 3.416
Re 4.335 3.710 2.117
Re 4.335 3.710 4.715

=====

6
Lattice="0.000 3.576 3.576 3.576 0.000 3.576 3.576 3.576 0.000" Properties=species:S:1:pos:R:3 comment="TaIrRu4 | Alexandria | PBE-GGA | relaxed" crystal_system=cubic total_energy_ev_per_atom=-9.41 m_tot_mub_per_fu=0.33 volume_a3_per_cell=91.4 formation_energy_ev_per_atom=0.228 pbc="T T T"
Ta 1.788 1.788 1.788
Ir 0.000 0.000 0.000
Ru 2.672 2.672 4.479
Ru 2.672 4.479 2.672
Ru 4.479 4.479 4.479
Ru 4.479 2.672 2.672

=====

4
Lattice="5.308 0.000 0.000 2.654 4.597 0.000 2.654 1.532 4.334" Properties=species:S:1:pos:R:3 comment="TbPmTlZn | Alexandria | PBE-GGA | relaxed" e_above_lowest_polymorph_mev_per_atom=25 crystal_system=cubic total_energy_ev_per_atom=-3.59 m_tot_mub_per_fu=0.00 volume_a3_per_cell=105.7 formation_energy_ev_per_atom=-0.331 pbc="T T T"
Tl 2.654 1.532 1.083
Tb 0.000 0.000 0.000
Zn 7.962 4.597 3.250
Pm 5.308 3.065 2.167